[1]
This record from OQMD via LeMat-Bulk describes a relaxed structure of HgGeSe3. The functional is GGA-PBE.

Unit cell a=7.0515 b=7.0515 c=7.0515 alpha=119.98 beta=119.98 gamma=90.04
Last column: nearest neighbours and their distance in Å.
Sites, in units of the cell vectors:
1 Hg 0.2500 0.7500 0.5000  4 Se 2.97
2 Hg 0.7500 0.2500 0.5000  4 Se 2.97
3 Ge 0.0000 0.0000 0.0000  6 Se 2.49-2.65
4 Ge 0.5000 0.5000 0.0000  6 Se 2.49-2.65
5 Se 0.1615 0.6615 0.8229  2 Ge 2.65
6 Se 0.2500 0.2500 0.0000  2 Ge 2.49
7 Se 0.3385 0.1615 0.5000  2 Ge 2.65
8 Se 0.6615 0.8385 0.5000  2 Ge 2.65
9 Se 0.7500 0.7500 0.0000  2 Ge 2.49
10 Se 0.8385 0.3385 0.1771  2 Ge 2.65

Crystal system: tetragonal
Total energy: -2.8731 eV per atom


[2]
This record from OQMD via LeMat-Bulk describes a relaxed structure of DyNbNO. The functional is GGA-PBE.

Unit cell a=3.9891 b=3.9891 c=7.9598 alpha=90.00 beta=90.00 gamma=90.00
Last column: nearest neighbours and their distance in Å.
Sites, in units of the cell vectors:
1 Dy 0.2500 0.2500 0.1294  4 O 2.24
2 Dy 0.7500 0.7500 0.8706  4 O 2.24
3 Nb 0.2500 0.7500 0.5000  4 N 2.13
4 Nb 0.7500 0.2500 0.5000  4 N 2.13
5 N 0.2500 0.2500 0.5934  4 Nb 2.13
6 N 0.7500 0.7500 0.4066  4 Nb 2.13
7 O 0.2500 0.7500 0.0000  4 Dy 2.24
8 O 0.7500 0.2500 0.0000  4 Dy 2.24

Crystal system: tetragonal
Total energy: -8.7452 eV per atom
Spin magnetization: 0.0 μB per formula unit


[3]
This record from OQMD via LeMat-Bulk describes a relaxed structure of Tm3Mo2W3N12. The functional is GGA-PBE.

Unit cell a=10.9190 b=10.9190 c=10.9190 alpha=109.47 beta=109.47 gamma=109.47
Last column: nearest neighbours and their distance in Å.
Sites, in units of the cell vectors:
1 Tm 0.1250 0.2500 0.3750  8 N 2.44-2.49
2 Tm 0.1250 0.3750 0.7500  8 N 2.44-2.49
3 Tm 0.2500 0.3750 0.1250  8 N 2.44-2.49
4 Tm 0.2500 0.8750 0.6250  8 N 2.44-2.49
5 Tm 0.3750 0.1250 0.2500  8 N 2.44-2.49
6 Tm 0.3750 0.7500 0.1250  8 N 2.44-2.49
7 Tm 0.6250 0.2500 0.8750  8 N 2.44-2.49
8 Tm 0.6250 0.8750 0.7500  8 N 2.44-2.49
9 Tm 0.7500 0.1250 0.3750  8 N 2.44-2.49
10 Tm 0.7500 0.6250 0.8750  8 N 2.44-2.49
11 Tm 0.8750 0.6250 0.2500  8 N 2.44-2.49
12 Tm 0.8750 0.7500 0.6250  8 N 2.44-2.49
13 Mo 0.0000 0.0000 0.0000  6 N 2.06
14 Mo 0.0000 0.0000 0.5000  6 N 2.06
15 Mo 0.0000 0.5000 0.0000  6 N 2.06
16 Mo 0.0000 0.5000 0.5000  6 N 2.06
17 Mo 0.5000 0.0000 0.0000  6 N 2.06
18 Mo 0.5000 0.0000 0.5000  6 N 2.06
19 Mo 0.5000 0.5000 0.0000  6 N 2.06
20 Mo 0.5000 0.5000 0.5000  6 N 2.06
21 W 0.1250 0.7500 0.8750  4 N 1.87
22 W 0.1250 0.8750 0.2500  4 N 1.87
23 W 0.2500 0.1250 0.8750  4 N 1.87
24 W 0.2500 0.6250 0.3750  4 N 1.87
25 W 0.3750 0.2500 0.6250  4 N 1.87
26 W 0.3750 0.6250 0.7500  4 N 1.87
27 W 0.6250 0.3750 0.2500  4 N 1.87
28 W 0.6250 0.7500 0.3750  4 N 1.87
29 W 0.7500 0.3750 0.6250  4 N 1.87
30 W 0.7500 0.8750 0.1250  4 N 1.87
31 W 0.8750 0.1250 0.7500  4 N 1.87
32 W 0.8750 0.2500 0.1250  4 N 1.87
33 N 0.0259 0.2070 0.1192  1 W 1.87, 1 Mo 2.06
34 N 0.0259 0.3189 0.9067  1 W 1.87, 1 Mo 2.06
35 N 0.0878 0.7070 0.6811  1 W 1.87, 1 Mo 2.06
36 N 0.0878 0.8808 0.4067  1 W 1.87, 1 Mo 2.06
37 N 0.0933 0.6192 0.4122  1 W 1.87, 1 Mo 2.06
38 N 0.0933 0.9741 0.6811  1 W 1.87, 1 Mo 2.06
39 N 0.1192 0.0259 0.2070  1 W 1.87, 1 Mo 2.06
40 N 0.1192 0.5933 0.9122  1 W 1.87, 1 Mo 2.06
41 N 0.1811 0.2070 0.5878  1 W 1.87, 1 Mo 2.06
42 N 0.1811 0.4741 0.5933  1 W 1.87, 1 Mo 2.06
43 N 0.2070 0.1192 0.0259  1 W 1.87, 1 Mo 2.06
44 N 0.2070 0.5878 0.1811  1 W 1.87, 1 Mo 2.06
45 N 0.2930 0.3189 0.9122  1 W 1.87, 1 Mo 2.06
46 N 0.2930 0.4741 0.3808  1 W 1.87, 1 Mo 2.06
47 N 0.3189 0.9067 0.0259  1 W 1.87, 1 Mo 2.06
48 N 0.3189 0.9122 0.2930  1 W 1.87, 1 Mo 2.06
49 N 0.3808 0.2930 0.4741  1 W 1.87, 1 Mo 2.06
50 N 0.3808 0.5878 0.9067  1 W 1.87, 1 Mo 2.06
51 N 0.4067 0.0878 0.8808  1 W 1.87, 1 Mo 2.06
52 N 0.4067 0.8189 0.5259  1 W 1.87, 1 Mo 2.06
53 N 0.4122 0.0933 0.6192  1 W 1.87, 1 Mo 2.06
54 N 0.4122 0.8189 0.7930  1 W 1.87, 1 Mo 2.06
55 N 0.4741 0.3808 0.2930  1 W 1.87, 1 Mo 2.06
56 N 0.4741 0.5933 0.1811  1 W 1.87, 1 Mo 2.06
57 N 0.5259 0.4067 0.8189  1 W 1.87, 1 Mo 2.06
58 N 0.5259 0.6192 0.7070  1 W 1.87, 1 Mo 2.06
59 N 0.5878 0.1811 0.2070  1 W 1.87, 1 Mo 2.06
60 N 0.5878 0.9067 0.3808  1 W 1.87, 1 Mo 2.06
61 N 0.5933 0.1811 0.4741  1 W 1.87, 1 Mo 2.06
62 N 0.5933 0.9122 0.1192  1 W 1.87, 1 Mo 2.06
63 N 0.6192 0.4122 0.0933  1 W 1.87, 1 Mo 2.06
64 N 0.6192 0.7070 0.5259  1 W 1.87, 1 Mo 2.06
65 N 0.6811 0.0878 0.7070  1 W 1.87, 1 Mo 2.06
66 N 0.6811 0.0933 0.9741  1 W 1.87, 1 Mo 2.06
67 N 0.7070 0.5259 0.6192  1 W 1.87, 1 Mo 2.06
68 N 0.7070 0.6811 0.0878  1 W 1.87, 1 Mo 2.06
69 N 0.7930 0.4122 0.8189  1 W 1.87, 1 Mo 2.06
70 N 0.7930 0.8808 0.9741  1 W 1.87, 1 Mo 2.06
71 N 0.8189 0.5259 0.4067  1 W 1.87, 1 Mo 2.06
72 N 0.8189 0.7930 0.4122  1 W 1.87, 1 Mo 2.06
73 N 0.8808 0.4067 0.0878  1 W 1.87, 1 Mo 2.06
74 N 0.8808 0.9741 0.7930  1 W 1.87, 1 Mo 2.06
75 N 0.9067 0.0259 0.3189  1 W 1.87, 1 Mo 2.06
76 N 0.9067 0.3808 0.5878  1 W 1.87, 1 Mo 2.06
77 N 0.9122 0.1192 0.5933  1 W 1.87, 1 Mo 2.06
78 N 0.9122 0.2930 0.3189  1 W 1.87, 1 Mo 2.06
79 N 0.9741 0.6811 0.0933  1 W 1.87, 1 Mo 2.06
80 N 0.9741 0.7930 0.8808  1 W 1.87, 1 Mo 2.06

Crystal system: cubic
Total energy: -9.4354 eV per atom
Spin magnetization: 3.0 μB per formula unit


[4]
This record from OQMD via LeMat-Bulk describes a relaxed structure of DyYCI. The functional is GGA-PBE.

Unit cell a=7.7298 b=7.7298 c=7.7298 alpha=28.26 beta=28.26 gamma=28.26
Last column: nearest neighbours and their distance in Å.
Sites, in units of the cell vectors:
1 Dy 0.0000 0.0000 0.0000  3 C 2.51
2 Y 0.4455 0.4455 0.4455  3 C 2.51
3 C 0.7224 0.7224 0.7224  3 Dy 2.51, 3 Y 2.51
4 I 0.2227 0.2227 0.2227  3 Y 3.29, 3 Dy 3.29

Crystal system: trigonal
Total energy: -6.2050 eV per atom
Spin magnetization: 0.0 μB per formula unit


[5]
This record from OQMD via LeMat-Bulk describes a relaxed structure of LiReHgOs. The functional is GGA-PBE.

Unit cell a=4.4097 b=4.4097 c=4.4097 alpha=60.00 beta=60.00 gamma=60.00
Last column: nearest neighbours and their distance in Å.
Sites, in units of the cell vectors:
1 Li 0.0000 0.0000 0.0000  4 Hg 2.70, 4 Re 2.70
2 Re 0.2500 0.2500 0.2500  4 Li 2.70, 4 Os 2.70
3 Hg 0.7500 0.7500 0.7500  4 Li 2.70, 4 Os 2.70
4 Os 0.5000 0.5000 0.5000  4 Hg 2.70, 4 Re 2.70

Crystal system: cubic
Total energy: -6.0124 eV per atom
Spin magnetization: 0.0 μB per formula unit


[6]
This record from OQMD via LeMat-Bulk describes a relaxed structure of ErCuSi2Ir. The functional is GGA-PBE.

Unit cell a=5.7298 b=5.7298 c=5.7298 alpha=138.94 beta=138.94 gamma=59.47
Last column: nearest neighbours and their distance in Å.
Sites, in units of the cell vectors:
1 Er 0.0000 0.0000 0.0000  8 Si 3.07, 4 Cu 3.20, 4 Ir 3.20
2 Cu 0.2500 0.7500 0.5000  4 Si 2.40
3 Si 0.3821 0.3821 0.0000  1 Si 2.35, 2 Ir 2.40, 2 Cu 2.40
4 Si 0.6179 0.6179 0.0000  1 Si 2.35, 2 Cu 2.40, 2 Ir 2.40
5 Ir 0.7500 0.2500 0.5000  4 Si 2.40

Crystal system: tetragonal
Total energy: -6.3611 eV per atom
Spin magnetization: 0.0 μB per formula unit


[7]
This record from OQMD via LeMat-Bulk describes a relaxed structure of TmCdPb. The functional is GGA-PBE.

Unit cell a=4.9578 b=4.9578 c=4.9578 alpha=60.00 beta=60.00 gamma=60.00
Last column: nearest neighbours and their distance in Å.
Sites, in units of the cell vectors:
1 Tm 0.0000 0.0000 0.0000  4 Cd 3.04
2 Cd 0.7500 0.7500 0.7500  4 Pb 3.04, 4 Tm 3.04
3 Pb 0.5000 0.5000 0.5000  4 Cd 3.04

Crystal system: cubic
Total energy: -3.0876 eV per atom
Spin magnetization: 0.0 μB per formula unit


[8]
This record from OQMD via LeMat-Bulk describes a relaxed structure of LiCdPO4. The functional is GGA-PBE.

Unit cell a=5.1648 b=5.1648 c=6.3024 alpha=90.00 beta=90.00 gamma=112.80
Last column: nearest neighbours and their distance in Å.
Sites, in units of the cell vectors:
1 Li 0.1611 0.8389 0.7500  4 O 1.98-2.04
2 Li 0.8389 0.1611 0.2500  4 O 1.98-2.04
3 Cd 0.5000 0.5000 0.0000  6 O 2.26-2.28
4 Cd 0.5000 0.5000 0.5000  6 O 2.26-2.28
5 P 0.1425 0.8575 0.2500  4 O 1.53-1.57
6 P 0.8575 0.1425 0.7500  4 O 1.53-1.57
7 O 0.1857 0.2424 0.7500  1 P 1.57
8 O 0.2395 0.7605 0.0460  1 P 1.53
9 O 0.2395 0.7605 0.4540  1 P 1.53
10 O 0.2424 0.1857 0.2500  1 P 1.57
11 O 0.7576 0.8143 0.7500  1 P 1.57
12 O 0.7605 0.2395 0.5460  1 P 1.53
13 O 0.7605 0.2395 0.9540  1 P 1.53
14 O 0.8143 0.7576 0.2500  1 P 1.57

Crystal system: orthorhombic
Total energy: -6.0129 eV per atom


[9]
This record from OQMD via LeMat-Bulk describes a relaxed structure of Lu4SiAsN2. The functional is GGA-PBE.

Unit cell a=3.4741 b=3.4741 c=13.3202 alpha=90.00 beta=90.00 gamma=120.00
Last column: nearest neighbours and their distance in Å.
Sites, in units of the cell vectors:
1 Lu 0.0000 0.0000 0.1490  3 N 2.38
2 Lu 0.0000 0.0000 0.8510  3 N 2.38
3 Lu 0.3333 0.6667 0.3438  3 N 2.40
4 Lu 0.3333 0.6667 0.6562  3 N 2.40
5 Si 0.0000 0.0000 0.5000  6 Lu 2.89
6 As 0.3333 0.6667 0.0000  6 Lu 2.82
7 N 0.6667 0.3333 0.2452  6 Lu 2.38-2.40
8 N 0.6667 0.3333 0.7548  6 Lu 2.38-2.40

Crystal system: hexagonal
Total energy: -6.8646 eV per atom
Spin magnetization: 0.0 μB per formula unit


[10]
This record from OQMD via LeMat-Bulk describes a relaxed structure of CsNb3S5. The functional is GGA-PBE.

Unit cell a=5.7368 b=5.7368 c=7.6741 alpha=90.00 beta=90.00 gamma=120.00
Last column: nearest neighbours and their distance in Å.
Sites, in units of the cell vectors:
1 Cs 0.0000 0.0000 0.0000  14 S 3.84
2 Nb 0.0000 0.5000 0.5000  4 S 2.51
3 Nb 0.5000 0.0000 0.5000  4 S 2.51
4 Nb 0.5000 0.5000 0.5000  4 S 2.51
5 S 0.0000 0.0000 0.5000  6 Nb 2.87
6 S 0.3333 0.6667 0.2541  3 Nb 2.51
7 S 0.3333 0.6667 0.7459  3 Nb 2.51
8 S 0.6667 0.3333 0.2541  3 Nb 2.51
9 S 0.6667 0.3333 0.7459  3 Nb 2.51

Crystal system: hexagonal
Total energy: -6.6428 eV per atom
Spin magnetization: 0.3 μB per formula unit